AcSm2Au: relaxed, PBE.

Cell lengths 3.9354, 3.9354, 30.7117 Å; angles 90.00, 90.00, 120.00 degrees
Space group R-3m (No. 166, hexagonal axes)
One atom of each set of equivalent atoms:
Ac 0.0000 0.0000 0.0000 [3 per cell]
Sm 0.0000 0.0000 0.2309 [6 per cell]
Au 0.0000 0.0000 0.5000 [3 per cell]

Summary:
Crystal system ... trigonal
Calculated volume ... 412 Å³/cell
Total energy ... -4.466 eV/atom
DFT formation energy ... -0.2600 eV per atom
Energy above the most stable polymorph in this dataset ... 128 meV per atom
Fermi-level density of states ... 1.52 states/eV per atom